(1)
# MnZnNiRu (PBE, optimized geometry)
# crystal system	tetragonal
# volume	12.81	Å³ per atom
# relative energy among the computed polymorphs	0	meV/atom
# mass density	9.08	g/cm³
# formation energy	-0.083	eV per atom
# total energy	-6.46	eV per atom
# DOS at the Fermi energy	0.67	states/eV per atom
data_MnZnNiRu
_cell_length_a 2.9676
_cell_length_b 2.9676
_cell_length_c 5.8189
_cell_angle_alpha 90.00
_cell_angle_beta 90.00
_cell_angle_gamma 90.00
_space_group_name_H-M_alt 'P 1'
_space_group_IT_number 1
loop_
_space_group_symop_operation_xyz
'x,y,z'
loop_
_atom_site_label
_atom_site_fract_x
_atom_site_fract_y
_atom_site_fract_z
_atom_site_occupancy
Mn1 0.0000 0.0000 0.3619 1
Zn1 0.0000 0.0000 0.8402 1
Ni1 0.5000 0.5000 0.6033 1
Ru1 0.5000 0.5000 0.1225 1

(2)
# MnNi3S (PBE, optimized geometry)
# crystal system	cubic
# volume	16.03	Å³ per atom
# relative energy among the computed polymorphs	1155	meV/atom
# mass density	5.45	g/cm³
# formation energy without anion corrections	1.233	eV/atom
# total energy	-4.90	eV per atom
# DOS at the Fermi energy	1.58	states/eV per atom
data_MnNi3S
_cell_length_a 4.3113
_cell_length_b 4.3113
_cell_length_c 4.3113
_cell_angle_alpha 90.00
_cell_angle_beta 90.00
_cell_angle_gamma 90.00
_space_group_name_H-M_alt 'P 1'
_space_group_IT_number 1
loop_
_space_group_symop_operation_xyz
'x,y,z'
loop_
_atom_site_label
_atom_site_fract_x
_atom_site_fract_y
_atom_site_fract_z
_atom_site_occupancy
Ni1 0.0000 0.5000 0.0000 1
Ni2 0.0000 0.0000 0.5000 1
Ni3 0.5000 0.0000 0.0000 1
S1 0.5000 0.5000 0.5000 1
Mn1 0.0000 0.0000 0.0000 1

(3)
# MnNi2S (PBE, optimized geometry)
# crystal system	tetragonal
# volume	15.12	Å³ per atom
# mass density	5.61	g/cm³
# formation energy without anion corrections	0.160	eV/atom
# total energy	-6.06	eV per atom
# DOS at the Fermi energy	0.45	states/eV per atom
data_MnNi2S
_cell_length_a 4.1931
_cell_length_b 4.1931
_cell_length_c 7.4928
_cell_angle_alpha 73.75
_cell_angle_beta 73.75
_cell_angle_gamma 90.00
_space_group_name_H-M_alt 'P 1'
_space_group_IT_number 1
loop_
_space_group_symop_operation_xyz
'x,y,z'
loop_
_atom_site_label
_atom_site_fract_x
_atom_site_fract_y
_atom_site_fract_z
_atom_site_occupancy
Ni1 0.5253 0.1250 0.2500 1
Ni2 0.2247 0.6250 0.2500 1
Ni3 0.3750 0.4747 0.7500 1
Ni4 0.8750 0.7753 0.7500 1
S1 0.5000 0.5000 0.0000 1
S2 0.2500 0.7500 0.5000 1
Mn1 0.0000 0.0000 0.0000 1
Mn2 0.7500 0.2500 0.5000 1

(4)
# MnNi3S (PBE, optimized geometry)
# crystal system	cubic
# volume	14.04	Å³ per atom
# relative energy among the computed polymorphs	0	meV/atom
# mass density	6.22	g/cm³
# formation energy without anion corrections	0.078	eV/atom
# total energy	-6.05	eV per atom
# DOS at the Fermi energy	0.22	states/eV per atom
data_MnNi3S
_cell_length_a 4.1254
_cell_length_b 4.1254
_cell_length_c 4.1254
_cell_angle_alpha 90.00
_cell_angle_beta 90.00
_cell_angle_gamma 90.00
_space_group_name_H-M_alt 'P 1'
_space_group_IT_number 1
loop_
_space_group_symop_operation_xyz
'x,y,z'
loop_
_atom_site_label
_atom_site_fract_x
_atom_site_fract_y
_atom_site_fract_z
_atom_site_occupancy
Ni1 0.0000 0.5000 0.0000 1
Ni2 0.0000 0.0000 0.5000 1
Ni3 0.5000 0.0000 0.0000 1
S1 0.0000 0.0000 0.0000 1
Mn1 0.5000 0.5000 0.5000 1

(5)
# Mn5NiS8 (PBE, optimized geometry)
# crystal system	cubic
# volume	16.45	Å³ per atom
# mass density	4.25	g/cm³
# formation energy without anion corrections	-0.557	eV/atom
# total energy	-6.60	eV per atom
# DOS at the Fermi energy	0.65	states/eV per atom
data_Mn5NiS8
_cell_length_a 6.8800
_cell_length_b 6.8800
_cell_length_c 6.8800
_cell_angle_alpha 60.00
_cell_angle_beta 60.00
_cell_angle_gamma 60.00
_space_group_name_H-M_alt 'P 1'
_space_group_IT_number 1
loop_
_space_group_symop_operation_xyz
'x,y,z'
loop_
_atom_site_label
_atom_site_fract_x
_atom_site_fract_y
_atom_site_fract_z
_atom_site_occupancy
Mn1 0.0000 0.0000 0.0000 1
Mn2 0.6212 0.6212 0.1364 1
Mn3 0.6212 0.6212 0.6212 1
Mn4 0.1364 0.6212 0.6212 1
Mn5 0.6212 0.1364 0.6212 1
Ni1 0.2500 0.2500 0.2500 1
S1 0.3810 0.8570 0.3810 1
S2 0.8570 0.3810 0.3810 1
S3 0.3810 0.3810 0.3810 1
S4 0.3810 0.3810 0.8570 1
S5 0.8644 0.8644 0.4067 1
S6 0.4067 0.8644 0.8644 1
S7 0.8644 0.8644 0.8644 1
S8 0.8644 0.4067 0.8644 1

(6)
# Mn4NiS7 (PBE, optimized geometry)
# crystal system	trigonal
# volume	17.45	Å³ per atom
# mass density	3.99	g/cm³
# formation energy without anion corrections	-0.437	eV/atom
# total energy	-6.38	eV per atom
# DOS at the Fermi energy	0.44	states/eV per atom
data_Mn4NiS7
_cell_length_a 3.4372
_cell_length_b 3.4372
_cell_length_c 20.4704
_cell_angle_alpha 90.00
_cell_angle_beta 90.00
_cell_angle_gamma 120.00
_space_group_name_H-M_alt 'P 1'
_space_group_IT_number 1
loop_
_space_group_symop_operation_xyz
'x,y,z'
loop_
_atom_site_label
_atom_site_fract_x
_atom_site_fract_y
_atom_site_fract_z
_atom_site_occupancy
Mn1 0.6667 0.3333 0.0770 1
Mn2 0.3333 0.6667 0.9230 1
Mn3 0.6667 0.3333 0.3585 1
Mn4 0.3333 0.6667 0.6415 1
Ni1 0.0000 0.0000 0.5000 1
S1 0.0000 0.0000 0.0000 1
S2 0.6667 0.3333 0.5668 1
S3 0.3333 0.6667 0.4332 1
S4 0.6667 0.3333 0.8623 1
S5 0.3333 0.6667 0.1377 1
S6 0.0000 0.0000 0.2980 1
S7 0.0000 0.0000 0.7020 1

(7)
# MnNi2S6 (PBE, optimized geometry)
# crystal system	monoclinic
# volume	19.67	Å³ per atom
# mass density	3.42	g/cm³
# formation energy without anion corrections	-0.310	eV/atom
# total energy	-5.37	eV per atom
# DOS at the Fermi energy	0.12	states/eV per atom
data_MnNi2S6
_cell_length_a 3.3504
_cell_length_b 6.3925
_cell_length_c 9.8459
_cell_angle_alpha 118.43
_cell_angle_beta 90.00
_cell_angle_gamma 105.19
_space_group_name_H-M_alt 'P 1'
_space_group_IT_number 1
loop_
_space_group_symop_operation_xyz
'x,y,z'
loop_
_atom_site_label
_atom_site_fract_x
_atom_site_fract_y
_atom_site_fract_z
_atom_site_occupancy
Mn1 0.0000 0.0000 0.5000 1
Ni1 0.6666 0.3333 0.8331 1
Ni2 0.3334 0.6667 0.1669 1
S1 0.0235 0.0469 0.7494 1
S2 0.6928 0.3856 0.0760 1
S3 0.3072 0.6144 0.9240 1
S4 0.6512 0.3025 0.5912 1
S5 0.3488 0.6975 0.4088 1
S6 0.9765 0.9531 0.2506 1

(8)
# MnNiSeS (PBE, optimized geometry)
# crystal system	monoclinic
# volume	16.27	Å³ per atom
# mass density	5.73	g/cm³
# formation energy without anion corrections	-0.256	eV/atom
# total energy	-5.90	eV per atom
# DOS at the Fermi energy	0.61	states/eV per atom
data_MnNiSeS
_cell_length_a 3.7349
_cell_length_b 3.7349
_cell_length_c 6.2568
_cell_angle_alpha 81.39
_cell_angle_beta 113.91
_cell_angle_gamma 124.87
_space_group_name_H-M_alt 'P 1'
_space_group_IT_number 1
loop_
_space_group_symop_operation_xyz
'x,y,z'
loop_
_atom_site_label
_atom_site_fract_x
_atom_site_fract_y
_atom_site_fract_z
_atom_site_occupancy
Mn1 0.5151 0.6026 0.1177 1
Ni1 0.3685 0.1504 0.5189 1
Se1 0.1966 0.5123 0.7089 1
S1 0.2488 0.9355 0.1843 1